This record from Alexandria via LeMat-Bulk describes SrWO2 after structural relaxation. The functional is PBE+U.

Properties
- SG = I4_1/amd
- distance to the lowest polymorph of the same formula (eV per atom) = 0.1491
- total magnetic moment (μB per formula unit) = 3.00

Cell lengths 7.740, 7.740, 7.740 Å; angles 130.62, 130.62, 72.42 degrees
Each line ends with the local moment (μB).
Fractional positions:
Sr 0.875 0.625 0.250  0.02
Sr 0.375 0.625 0.750  0.02
Sr 0.375 0.625 0.250  0.02
Sr 0.375 0.125 0.750  0.02
W 0.375 0.125 0.250  2.60
W 0.875 0.125 0.750  2.60
W 0.875 0.125 0.250  2.60
W 0.875 0.625 0.750  2.60
O 0.173 0.385 0.212  0.06
O 0.173 0.962 0.788  0.06
O 0.135 0.423 0.712  0.06
O 0.577 0.865 0.288  0.06
O 0.712 0.423 0.288  0.06
O 0.577 0.288 0.712  0.06
O 0.615 0.827 0.788  0.06
O 0.038 0.827 0.212  0.06